Cu5GeAu2 after structural relaxation, computed with PBE.

The structure in POSCAR format:
```
Cu5GeAu2
1.0
-3.019 -0.527 1.500
-2.316 0.120 -4.619
3.526 -6.422 0.957
Au Cu Ge
2 5 1
Cartesian
-0.777 -2.883 -2.577
-1.032 -3.947 0.415
0.098 -5.222 -1.639
-3.072 -1.548 -2.846
-1.907 -1.608 -0.523
1.263 -5.282 0.684
-1.158 0.060 -2.310
0.000 0.000 0.000
```

Output
- Total magnetic moment: 0.00 μB/cell
- ΔH_f (0 K): 0.5 eV per formula unit
- Volume: 14.8 Å³ per atom

***

CuGeAu after structural relaxation, computed with PBE.

The structure in POSCAR format:
```
CuGeAu
1.0
3.960 0.000 -0.009
0.000 3.960 0.009
0.008 -0.008 6.368
Cu Au Ge
2 2 2
Cartesian
0.990 0.990 0.000
2.970 2.970 0.000
0.995 2.965 1.870
2.974 0.987 4.498
2.976 0.985 1.857
0.993 2.967 4.510
```

Output
- Total magnetic moment: 0.00 μB/cell
- ΔH_f (0 K): 0.1 eV per formula unit
- Volume: 16.6 Å³ per atom

***

- Number 2 is which compound?
  CuGeAu

***

Copy entry 2 word for word.
CuGeAu after structural relaxation, computed with PBE.

The structure in POSCAR format:
```
CuGeAu
1.0
3.960 0.000 -0.009
0.000 3.960 0.009
0.008 -0.008 6.368
Cu Au Ge
2 2 2
Cartesian
0.990 0.990 0.000
2.970 2.970 0.000
0.995 2.965 1.870
2.974 0.987 4.498
2.976 0.985 1.857
0.993 2.967 4.510
```

Output
- Total magnetic moment: 0.00 μB/cell
- ΔH_f (0 K): 0.1 eV per formula unit
- Volume: 16.6 Å³ per atom

***

- Number 1 is which compound?
  Cu5GeAu2

***

- What is the formula in the second record?
  CuGeAu